Record 1
Density functional theory data (GGA-PBE) for a relaxed structure of PmDyErZn.

Summary:
Space group = No. 216
Energy of formation = 0.035 eV/atom
Fermi-level density of states = 4.95 states/eV per cell
M_tot = 0.00 Bohr magnetons per cell

a b c (Å): 5.360 5.360 5.360
angles (deg): 60.00 60.00 60.00
Element x y z (fractional)
Zn1 0.250 0.250 0.250
Dy1 0.000 0.000 0.000
Pm1 0.500 0.500 0.500
Er1 0.750 0.750 0.750

---

Record 2
Density functional theory data (GGA-PBE) for a relaxed structure of Ba2ThTcO6.

Summary:
Space group = No. 225
ΔE_f (raw) = -2.675 eV/atom
M_tot = 3.00 Bohr magnetons per cell

a b c (Å): 6.121 6.121 6.122
angles (deg): 60.00 60.00 90.00
Each line ends with the local moment (μB).
Element x y z (fractional)
Ba1 0.250 0.750 0.500  0.01
Ba2 0.750 0.250 0.500  0.01
Th1 0.500 0.500 0.000  0.06
Tc1 0.000 0.000 0.000  2.28
O1 0.236 0.764 0.000  0.04
O2 0.764 0.764 0.000  0.04
O3 0.236 0.236 0.528  0.05
O4 0.764 0.236 0.000  0.04
O5 0.236 0.236 0.000  0.04
O6 0.764 0.764 0.472  0.05

---

Record 3
Density functional theory data (GGA-PBE) for a relaxed structure of Ac2Al2Hg5.

Summary:
Space group = No. 123
Energy of formation = -0.289 eV/atom
Fermi-level density of states = 6.46 states/eV per cell
M_tot = 0.00 Bohr magnetons per cell

a b c (Å): 4.787 4.787 10.523
angles (deg): 90.00 90.00 90.00
Element x y z (fractional)
Ac1 0.000 0.000 0.000
Ac2 0.000 0.000 0.500
Al1 0.500 0.500 0.122
Al2 0.500 0.500 0.878
Hg1 0.500 0.000 0.259
Hg2 0.500 0.000 0.741
Hg3 0.000 0.500 0.259
Hg4 0.000 0.500 0.741
Hg5 0.500 0.500 0.500

---

Record 4
Density functional theory data (GGA-PBE) for a relaxed structure of BaLaGa2.

Summary:
Space group = No. 122
Energy of formation = -0.017 eV/atom
Fermi-level density of states = 12.05 states/eV per cell
M_tot = 0.01 Bohr magnetons per cell

a b c (Å): 8.724 8.724 7.129
angles (deg): 52.28 52.28 90.00
Element x y z (fractional)
Ba1 0.500 0.500 0.000
Ba2 0.250 0.750 0.500
Ga1 0.654 0.125 0.250
Ga2 0.096 0.625 0.250
Ga3 0.375 0.346 0.750
Ga4 0.875 0.904 0.750
La1 0.000 0.000 0.000
La2 0.750 0.250 0.500

---

Record 5
Density functional theory data (GGA-PBE) for a relaxed structure of BaReRh.

Summary:
Space group = No. 11
Energy of formation = 0.283 eV/atom
Fermi-level density of states = 8.60 states/eV per cell
M_tot = 0.00 Bohr magnetons per cell

a b c (Å): 4.384 6.953 6.119
angles (deg): 81.27 89.99 50.91
Element x y z (fractional)
Re1 0.391 0.114 0.968
Re2 0.636 0.369 0.907
Rh1 0.854 0.651 0.862
Rh2 0.173 0.832 0.013
Ba1 0.017 0.988 0.504
Ba2 0.010 0.495 0.371

---

Record 6
Density functional theory data (GGA-PBE) for a relaxed structure of CaBeI2N.

Summary:
Space group = No. 123
ΔE_f (raw) = -0.182 eV/atom
Fermi-level density of states = 1.70 states/eV per cell
M_tot = 1.12 Bohr magnetons per cell

a b c (Å): 5.684 5.684 3.500
angles (deg): 90.00 90.00 90.00
Each line ends with the local moment (μB).
Element x y z (fractional)
I1 0.000 0.500 0.000  0.07
I2 0.500 0.000 0.000  0.07
Be1 0.000 0.000 0.000  -0.03
Ca1 0.500 0.500 0.500  -0.02
N1 0.000 0.000 0.500  0.70

---

Record 7
Density functional theory data (GGA-PBE) for a relaxed structure of VPd5Au6.

Summary:
Space group = No. 71
Energy of formation = -0.085 eV/atom
Fermi-level density of states = 9.92 states/eV per cell
M_tot = 2.11 Bohr magnetons per cell

a b c (Å): 4.037 8.082 7.577
angles (deg): 122.23 105.47 90.00
Each line ends with the local moment (μB).
Element x y z (fractional)
Au1 0.834 0.584 0.667  0.01
Au2 0.834 0.083 0.667  0.01
Au3 0.500 0.748 0.000  0.00
Au4 0.500 0.252 0.000  0.00
Au5 0.166 0.917 0.333  0.01
Au6 0.166 0.416 0.333  0.01
Pd1 0.658 0.158 0.315  -0.02
Pd2 0.332 0.332 0.664  0.02
Pd3 0.000 0.500 0.000  -0.01
Pd4 0.668 0.668 0.336  0.02
Pd5 0.342 0.842 0.685  -0.02
V1 0.000 0.000 0.000  1.87

---

Record 8
Density functional theory data (GGA-PBE) for a relaxed structure of NaNbBiPt2.

Summary:
Space group = No. 123
Energy of formation = 1.294 eV/atom
Fermi-level density of states = 8.26 states/eV per cell
M_tot = 0.00 Bohr magnetons per cell

a b c (Å): 4.648 4.949 4.648
angles (deg): 90.00 90.00 90.00
Element x y z (fractional)
Na1 0.000 0.000 0.000
Nb1 0.500 0.500 0.500
Bi1 0.000 0.500 0.000
Pt1 0.000 0.000 0.500
Pt2 0.500 0.000 0.000

---

Record 9
Density functional theory data (GGA-PBE) for a relaxed structure of Pb2Br.

Summary:
Space group = No. 194
ΔE_f (raw) = -0.067 eV/atom
Fermi-level density of states = 6.08 states/eV per cell
M_tot = 0.00 Bohr magnetons per cell

a b c (Å): 6.487 6.487 11.287
angles (deg): 90.00 90.00 120.00
Element x y z (fractional)
Pb1 0.000 0.000 0.000
Pb2 0.000 0.000 0.500
Pb3 0.658 0.829 0.250
Pb4 0.342 0.171 0.750
Pb5 0.171 0.829 0.250
Pb6 0.171 0.342 0.250
Pb7 0.829 0.658 0.750
Pb8 0.829 0.171 0.750
Br1 0.667 0.333 0.001
Br2 0.333 0.667 0.501
Br3 0.333 0.667 0.999
Br4 0.667 0.333 0.499

---

Record 10
Density functional theory data (GGA-PBE) for a relaxed structure of Fe2ReS.

Summary:
Space group = No. 122
ΔE_f (raw) = 0.555 eV/atom
Fermi-level density of states = 11.45 states/eV per cell
M_tot = 0.00 Bohr magnetons per cell

a b c (Å): 5.190 5.190 6.098
angles (deg): 64.82 64.82 90.00
Element x y z (fractional)
Re1 0.000 0.000 0.000
Re2 0.750 0.250 0.500
S1 0.500 0.500 0.000
S2 0.250 0.750 0.500
Fe1 0.598 0.125 0.250
Fe2 0.152 0.625 0.250
Fe3 0.375 0.402 0.750
Fe4 0.875 0.848 0.750

---

Record 11
Density functional theory data (GGA-PBE) for a relaxed structure of Er8Pd2Ru.

Summary:
Space group = No. 8
Energy of formation = -0.350 eV/atom
Fermi-level density of states = 11.21 states/eV per cell
M_tot = 0.00 Bohr magnetons per cell

a b c (Å): 5.811 7.693 7.693
angles (deg): 116.13 100.82 100.82
Element x y z (fractional)
Er1 0.583 0.335 0.091
Er2 0.583 0.091 0.335
Er3 0.169 0.362 0.362
Er4 0.989 0.207 0.792
Er5 0.989 0.792 0.207
Er6 0.816 0.646 0.646
Er7 0.379 0.914 0.668
Er8 0.379 0.668 0.914
Pd1 0.496 0.704 0.310
Pd2 0.496 0.310 0.704
Ru1 0.119 0.005 0.005

---

Record 12
Density functional theory data (GGA-PBE) for a relaxed structure of NaCaHCl2.

Summary:
Space group = No. 123
Fermi-level density of states = 0.00 states/eV per cell
Total energy = -3.517 eV per atom
M_tot = 0.00 Bohr magnetons per cell

a b c (Å): 5.416 5.416 4.244
angles (deg): 90.00 90.00 90.00
Element x y z (fractional)
Na1 0.500 0.500 0.500
Ca1 0.000 0.000 0.000
H1 0.000 0.000 0.500
Cl1 0.000 0.500 0.000
Cl2 0.500 0.000 0.000

---

Record 13
Density functional theory data (GGA-PBE) for a relaxed structure of Sm4ErSe5.

Summary:
Space group = No. 139
ΔE_f (raw) = -1.789 eV/atom
Fermi-level density of states = 4.50 states/eV per cell
M_tot = 0.00 Bohr magnetons per cell

a b c (Å): 4.139 4.139 15.019
angles (deg): 97.92 97.92 90.00
Element x y z (fractional)
Sm1 0.398 0.398 0.796
Sm2 0.805 0.805 0.610
Sm3 0.195 0.195 0.390
Sm4 0.602 0.602 0.204
Er1 0.000 0.000 0.000
Se1 0.096 0.096 0.192
Se2 0.500 0.500 0.000
Se3 0.904 0.904 0.808
Se4 0.297 0.297 0.595
Se5 0.703 0.703 0.405

---

Record 14
Density functional theory data (GGA-PBE) for a relaxed structure of Ac2Ho.

Summary:
Space group = No. 69
Energy of formation = 0.129 eV/atom
Fermi-level density of states = 7.07 states/eV per cell
M_tot = 0.00 Bohr magnetons per cell

a b c (Å): 4.407 4.407 6.973
angles (deg): 108.50 108.50 89.92
Element x y z (fractional)
Ac1 0.155 0.155 0.309
Ac2 0.845 0.845 0.691
Ho1 0.500 0.500 0.000

---

Record 15
Density functional theory data (GGA-PBE) for a relaxed structure of LiYCo2.

Summary:
Space group = No. 166
Energy of formation = 0.095 eV/atom
Fermi-level density of states = 2.73 states/eV per cell
M_tot = 2.36 Bohr magnetons per cell

a b c (Å): 4.061 4.061 5.327
angles (deg): 67.63 67.63 59.96
Each line ends with the local moment (μB).
Element x y z (fractional)
Co1 0.061 0.061 0.817  1.35
Co2 0.439 0.439 0.683  1.35
Li1 0.750 0.750 0.750  -0.04
Y1 0.250 0.250 0.250  -0.15

---

Record 16
Density functional theory data (GGA-PBE) for a relaxed structure of KTcI2.

Summary:
Space group = No. 122
ΔE_f (raw) = 0.029 eV/atom
Fermi-level density of states = 1.92 states/eV per cell
M_tot = 0.00 Bohr magnetons per cell

a b c (Å): 8.620 8.620 7.149
angles (deg): 52.93 52.93 90.00
Element x y z (fractional)
I1 0.739 0.125 0.250
I2 0.011 0.625 0.250
I3 0.375 0.261 0.750
I4 0.875 0.989 0.750
K1 0.500 0.500 0.000
K2 0.250 0.750 0.500
Tc1 0.000 0.000 0.000
Tc2 0.750 0.250 0.500

---

Record 17
Density functional theory data (GGA-PBE) for a relaxed structure of LiCuP2.

Summary:
Space group = No. 123
Energy of formation = -0.083 eV/atom
Fermi-level density of states = 0.73 states/eV per cell
M_tot = 0.00 Bohr magnetons per cell

a b c (Å): 3.336 3.336 5.389
angles (deg): 90.00 90.00 90.00
Element x y z (fractional)
Cu1 0.500 0.500 0.250
Li1 0.500 0.500 0.750
P1 0.000 0.000 0.054
P2 0.000 0.000 0.446

---

Record 18
Density functional theory data (GGA-PBE) for a relaxed structure of SrTe2Au.

Summary:
Space group = No. 225
ΔE_f (raw) = -0.452 eV/atom
Fermi-level density of states = 3.88 states/eV per cell
M_tot = 0.00 Bohr magnetons per cell

a b c (Å): 5.464 5.464 5.464
angles (deg): 60.00 60.00 60.00
Element x y z (fractional)
Sr1 0.000 0.000 0.000
Te1 0.250 0.250 0.250
Te2 0.750 0.750 0.750
Au1 0.500 0.500 0.500

---

Record 19
Density functional theory data (GGA-PBE) for a relaxed structure of Cs2Na9Au3.

Summary:
Space group = No. 15
Energy of formation = -0.136 eV/atom
Fermi-level density of states = 11.92 states/eV per cell
M_tot = 0.00 Bohr magnetons per cell

a b c (Å): 9.689 9.689 12.980
angles (deg): 89.99 109.63 123.38
Element x y z (fractional)
Cs1 0.375 0.244 0.759
Cs2 0.625 0.756 0.241
Cs3 0.985 0.615 0.741
Cs4 0.015 0.385 0.259
Na1 0.471 0.923 0.749
Na2 0.529 0.077 0.251
Na3 0.674 0.722 0.751
Na4 0.326 0.278 0.249
Na5 0.425 0.622 0.922
Na6 0.575 0.378 0.078
Na7 0.200 0.503 0.578
Na8 0.800 0.497 0.422
Na9 0.924 0.174 0.750
Na10 0.076 0.826 0.250
Na11 0.161 0.008 0.984
Na12 0.839 0.992 0.016
Na13 0.524 0.176 0.516
Na14 0.476 0.824 0.484
Na15 0.863 0.862 0.552
Na16 0.137 0.138 0.448
Na17 0.810 0.311 0.948
Na18 0.190 0.689 0.052
Au1 0.500 0.000 0.000
Au2 0.500 0.500 0.500
Au3 0.830 0.160 0.484
Au4 0.170 0.840 0.516
Au5 0.176 0.346 0.016
Au6 0.824 0.654 0.984

---

Record 20
Density functional theory data (GGA-PBE) for a relaxed structure of GaBiPb.

Summary:
Space group = No. 216
Energy of formation = 0.085 eV/atom
Fermi-level density of states = 1.77 states/eV per cell
M_tot = 0.00 Bohr magnetons per cell

a b c (Å): 5.078 5.078 5.078
angles (deg): 60.00 60.00 60.00
Element x y z (fractional)
Pb1 0.500 0.500 0.500
Bi1 0.000 0.000 0.000
Ga1 0.250 0.250 0.250